Record 1
This record from Alexandria describes a relaxed Dy2YTm2Mg5 crystal. The functional is GGA-PBE.

Output
electronic total energy	-3.193	eV/atom
symmetry	No. 127
size of the total moment	0.00	μB per atom

Unit cell a=10.5282 b=10.5282 c=5.0415 alpha=90.00 beta=90.00 gamma=90.00
Last column: nearest neighbours and their distance in Å.
Sites, in units of the cell vectors:
Dy1 0.1777 0.3223 0.0000  3 Tm 3.04-3.18
Dy2 0.3223 0.8223 0.0000  3 Tm 3.04-3.18
Dy3 0.6777 0.1777 0.0000  3 Tm 3.04-3.18
Dy4 0.8223 0.6777 0.0000  3 Tm 3.04-3.18
Y1 0.0000 0.0000 0.0000  8 Mg 3.36
Y2 0.5000 0.5000 0.0000  8 Mg 3.36
Tm1 0.1183 0.6183 0.0000  3 Dy 3.04-3.18, 6 Mg 3.07-3.21
Tm2 0.3817 0.1183 0.0000  3 Dy 3.04-3.18, 6 Mg 3.07-3.21
Tm3 0.6183 0.8817 0.0000  3 Dy 3.04-3.18, 6 Mg 3.07-3.21
Tm4 0.8817 0.3817 0.0000  3 Dy 3.04-3.18, 6 Mg 3.07-3.21
Mg1 0.0000 0.5000 0.5000  4 Tm 3.07, 4 Mg 3.28
Mg2 0.0745 0.8025 0.5000  4 Mg 3.14-3.40, 2 Tm 3.21, 2 Y 3.36
Mg3 0.1975 0.0745 0.5000  4 Mg 3.14-3.40, 2 Tm 3.21, 2 Y 3.36
Mg4 0.3025 0.5745 0.5000  4 Mg 3.14-3.40, 2 Tm 3.21, 2 Y 3.36
Mg5 0.4255 0.3025 0.5000  4 Mg 3.14-3.40, 2 Tm 3.21, 2 Y 3.36
Mg6 0.5000 0.0000 0.5000  4 Tm 3.07, 4 Mg 3.28
Mg7 0.5745 0.6975 0.5000  4 Mg 3.14-3.40, 2 Tm 3.21, 2 Y 3.36
Mg8 0.6975 0.4255 0.5000  4 Mg 3.14-3.40, 2 Tm 3.21, 2 Y 3.36
Mg9 0.8025 0.9255 0.5000  4 Mg 3.14-3.40, 2 Tm 3.21, 2 Y 3.36
Mg10 0.9255 0.1975 0.5000  4 Mg 3.14-3.40, 2 Tm 3.21, 2 Y 3.36

***

Record 2
This record from Alexandria describes a relaxed Dy4Y2TmMg crystal. The functional is GGA-PBE.

Output
electronic total energy	-4.651	eV/atom
symmetry	No. 123
size of the total moment	0.00	μB per atom

Unit cell a=4.9510 b=4.9510 c=9.9738 alpha=90.00 beta=90.00 gamma=90.00
Last column: nearest neighbours and their distance in Å.
Sites, in units of the cell vectors:
Dy1 0.0000 0.5000 0.2492  4 Dy 3.50, 2 Mg 3.51, 4 Y 3.51-3.52, 2 Tm 3.52
Dy2 0.0000 0.5000 0.7508  4 Dy 3.50, 2 Mg 3.51, 4 Y 3.51-3.52, 2 Tm 3.52
Dy3 0.5000 0.0000 0.2492  4 Dy 3.50, 2 Mg 3.51, 4 Y 3.51-3.52, 2 Tm 3.52
Dy4 0.5000 0.0000 0.7508  4 Dy 3.50, 2 Mg 3.51, 4 Y 3.51-3.52, 2 Tm 3.52
Y1 0.0000 0.0000 0.0000  4 Mg 3.50, 8 Dy 3.51
Y2 0.5000 0.5000 0.5000  4 Tm 3.50, 8 Dy 3.52
Tm1 0.0000 0.0000 0.5000  4 Y 3.50, 8 Dy 3.52
Mg1 0.5000 0.5000 0.0000  4 Y 3.50, 8 Dy 3.51

***

Record 3
This record from Alexandria describes a relaxed Dy2Y4TmMg crystal. The functional is GGA-PBE.

Output
electronic total energy	-5.116	eV/atom
symmetry	No. 10
size of the total moment	0.00	μB per atom

Unit cell a=4.9783 b=4.9701 c=9.9542 alpha=90.00 beta=90.05 gamma=90.00
Last column: nearest neighbours and their distance in Å.
Sites, in units of the cell vectors:
Dy1 0.0000 0.0000 0.0000  8 Y 3.51, 4 Mg 3.52
Dy2 0.5000 0.5000 0.5000  4 Tm 3.52, 8 Y 3.53
Y1 0.0004 0.5000 0.2484  4 Dy 3.51-3.53, 2 Mg 3.51, 4 Y 3.52, 2 Tm 3.53
Y2 0.9996 0.5000 0.7516  4 Dy 3.51-3.53, 2 Mg 3.51, 4 Y 3.52, 2 Tm 3.53
Y3 0.5001 0.0000 0.2485  2 Mg 3.51, 4 Dy 3.51-3.53, 4 Y 3.52, 2 Tm 3.53
Y4 0.4999 0.0000 0.7515  2 Mg 3.51, 4 Dy 3.51-3.53, 4 Y 3.52, 2 Tm 3.53
Tm1 0.0000 0.0000 0.5000  4 Dy 3.52, 8 Y 3.53
Mg1 0.5000 0.5000 0.0000  8 Y 3.51, 4 Dy 3.52

***

Record 4
This record from Alexandria describes a relaxed DyY2Tm4Mg crystal. The functional is GGA-PBE.

Output
electronic total energy	-4.610	eV/atom
symmetry	No. 12
size of the total moment	0.00	μB per atom

Unit cell a=6.3127 b=6.3127 c=11.4312 alpha=106.63 beta=106.63 gamma=33.56
Last column: nearest neighbours and their distance in Å.
Sites, in units of the cell vectors:
Dy1 0.0000 0.0000 0.0000  4 Y 3.56, 6 Tm 3.58-3.63, 2 Dy 3.64
Y1 0.4758 0.4758 0.7262  2 Mg 3.25, 5 Tm 3.51-3.59, 2 Dy 3.56
Y2 0.5242 0.5242 0.2738  2 Mg 3.25, 5 Tm 3.51-3.59, 2 Dy 3.56
Tm1 0.2377 0.2377 0.8676  6 Tm 3.42-3.64, 3 Dy 3.58-3.63, 3 Y 3.59-3.70
Tm2 0.2820 0.2820 0.3912  2 Mg 3.14, 4 Tm 3.36-3.42, 2 Y 3.51
Tm3 0.7180 0.7180 0.6088  2 Mg 3.14, 4 Tm 3.36-3.42, 2 Y 3.51
Tm4 0.7623 0.7623 0.1324  6 Tm 3.42-3.64, 3 Dy 3.58-3.63, 3 Y 3.59-3.70
Mg1 0.0000 0.0000 0.5000  4 Tm 3.14, 4 Y 3.25

***

Record 5
This record from Alexandria describes a relaxed Dy2Y2TmMg crystal. The functional is GGA-PBE.

Output
electronic total energy	-4.225	eV/atom
symmetry	No. 58
size of the total moment	0.00	μB per atom

Unit cell a=10.2955 b=11.6527 c=3.6094 alpha=90.00 beta=90.00 gamma=90.00
Last column: nearest neighbours and their distance in Å.
Sites, in units of the cell vectors:
Dy1 0.0890 0.2233 0.0000  2 Tm 3.30, 1 Mg 3.35, 2 Y 3.42, 2 Dy 3.61
Dy2 0.4110 0.7233 0.5000  2 Tm 3.30, 1 Mg 3.35, 2 Y 3.42, 2 Dy 3.61
Dy3 0.5890 0.2767 0.5000  2 Tm 3.30, 1 Mg 3.35, 2 Y 3.42, 2 Dy 3.61
Dy4 0.9110 0.7767 0.0000  2 Tm 3.30, 1 Mg 3.35, 2 Y 3.42, 2 Dy 3.61
Y1 0.2499 0.4282 0.5000  2 Mg 3.25, 2 Tm 3.25, 2 Dy 3.42, 2 Y 3.61
Y2 0.2501 0.9282 0.0000  2 Mg 3.25, 2 Tm 3.25, 2 Dy 3.42, 2 Y 3.61
Y3 0.7499 0.0718 0.0000  2 Mg 3.25, 2 Tm 3.25, 2 Dy 3.42, 2 Y 3.61
Y4 0.7501 0.5718 0.5000  2 Mg 3.25, 2 Tm 3.25, 2 Dy 3.42, 2 Y 3.61
Tm1 0.0000 0.0000 0.5000  4 Y 3.25, 4 Dy 3.30, 2 Tm 3.61
Tm2 0.5000 0.5000 0.0000  4 Y 3.25, 4 Dy 3.30, 2 Tm 3.61
Mg1 0.0000 0.5000 0.0000  4 Y 3.25, 2 Dy 3.35, 2 Mg 3.61
Mg2 0.5000 0.0000 0.5000  4 Y 3.25, 2 Dy 3.35, 2 Mg 3.61

***

Record 6
This record from Alexandria describes a relaxed DyY4Tm2Mg crystal. The functional is GGA-PBE.

Output
electronic total energy	-5.102	eV/atom
symmetry	No. 123
size of the total moment	0.00	μB per atom

Unit cell a=4.9711 b=4.9711 c=9.9063 alpha=90.00 beta=90.00 gamma=90.00
Last column: nearest neighbours and their distance in Å.
Sites, in units of the cell vectors:
Dy1 0.0000 0.0000 0.0000  4 Tm 3.52, 8 Y 3.53
Y1 0.0000 0.5000 0.2529  2 Mg 3.49, 4 Tm 3.49-3.53, 4 Y 3.52, 2 Dy 3.53
Y2 0.0000 0.5000 0.7471  2 Mg 3.49, 4 Tm 3.49-3.53, 4 Y 3.52, 2 Dy 3.53
Y3 0.5000 0.0000 0.2529  2 Mg 3.49, 4 Tm 3.49-3.53, 4 Y 3.52, 2 Dy 3.53
Y4 0.5000 0.0000 0.7471  2 Mg 3.49, 4 Tm 3.49-3.53, 4 Y 3.52, 2 Dy 3.53
Tm1 0.0000 0.0000 0.5000  8 Y 3.49, 4 Mg 3.52
Tm2 0.5000 0.5000 0.0000  4 Dy 3.52, 8 Y 3.53
Mg1 0.5000 0.5000 0.5000  8 Y 3.49, 4 Tm 3.52

***

Record 7
This record from Alexandria describes a relaxed Dy3Y6Tm2Mg crystal. The functional is GGA-PBE.

Output
electronic total energy	-5.224	eV/atom
symmetry	No. 12
size of the total moment	0.00	μB per atom

Unit cell a=6.1302 b=6.1302 c=11.6524 alpha=95.07 beta=95.07 gamma=120.02
Last column: nearest neighbours and their distance in Å.
Sites, in units of the cell vectors:
Dy1 0.0000 0.0000 0.0000  6 Dy 3.53-3.55, 6 Y 3.54-3.55
Dy2 0.3341 0.6659 0.0000  6 Dy 3.52-3.55, 6 Y 3.54-3.56
Dy3 0.6659 0.3341 0.0000  6 Dy 3.52-3.55, 6 Y 3.54-3.56
Y1 0.0857 0.4184 0.2532  1 Mg 3.49, 2 Tm 3.49-3.50, 6 Y 3.53-3.54, 3 Dy 3.55-3.56
Y2 0.2486 0.2486 0.7477  2 Tm 3.49, 1 Mg 3.50, 6 Y 3.54, 3 Dy 3.54
Y3 0.4184 0.0857 0.2532  1 Mg 3.49, 2 Tm 3.49-3.50, 6 Y 3.53-3.54, 3 Dy 3.55-3.56
Y4 0.5816 0.9143 0.7468  1 Mg 3.49, 2 Tm 3.49-3.50, 6 Y 3.53-3.54, 3 Dy 3.55-3.56
Y5 0.7514 0.7514 0.2523  2 Tm 3.49, 1 Mg 3.50, 6 Y 3.54, 3 Dy 3.54
Y6 0.9143 0.5816 0.7468  1 Mg 3.49, 2 Tm 3.49-3.50, 6 Y 3.53-3.54, 3 Dy 3.55-3.56
Tm1 0.1663 0.8337 0.5000  6 Y 3.49-3.50, 3 Tm 3.53-3.54, 3 Mg 3.54
Tm2 0.8337 0.1663 0.5000  6 Y 3.49-3.50, 3 Tm 3.53-3.54, 3 Mg 3.54
Mg1 0.5000 0.5000 0.5000  6 Y 3.49-3.50, 6 Tm 3.54

***

Record 8
This record from Alexandria describes a relaxed Dy4YTm2Mg crystal. The functional is GGA-PBE.

Output
electronic total energy	-4.405	eV/atom
symmetry	No. 123
size of the total moment	0.00	μB per atom

Unit cell a=4.9554 b=4.9554 c=9.8484 alpha=90.00 beta=90.00 gamma=90.00
Last column: nearest neighbours and their distance in Å.
Sites, in units of the cell vectors:
Dy1 0.0000 0.5000 0.2463  2 Mg 3.47, 4 Tm 3.47-3.52, 4 Dy 3.50, 2 Y 3.52
Dy2 0.0000 0.5000 0.7537  2 Mg 3.47, 4 Tm 3.47-3.52, 4 Dy 3.50, 2 Y 3.52
Dy3 0.5000 0.0000 0.2463  2 Mg 3.47, 4 Tm 3.47-3.52, 4 Dy 3.50, 2 Y 3.52
Dy4 0.5000 0.0000 0.7537  2 Mg 3.47, 4 Tm 3.47-3.52, 4 Dy 3.50, 2 Y 3.52
Y1 0.0000 0.0000 0.5000  4 Tm 3.50, 8 Dy 3.52
Tm1 0.0000 0.0000 0.0000  8 Dy 3.47, 4 Mg 3.50
Tm2 0.5000 0.5000 0.5000  4 Y 3.50, 8 Dy 3.52
Mg1 0.5000 0.5000 0.0000  8 Dy 3.47, 4 Tm 3.50

***

Record 9
This record from Alexandria describes a relaxed Dy6Y3Tm2Mg crystal. The functional is GGA-PBE.

Output
electronic total energy	-4.761	eV/atom
symmetry	No. 12
size of the total moment	0.00	μB per atom

Unit cell a=6.1161 b=6.1161 c=11.6090 alpha=95.08 beta=95.08 gamma=120.01
Last column: nearest neighbours and their distance in Å.
Sites, in units of the cell vectors:
Dy1 0.0845 0.4182 0.7540  2 Tm 3.47, 1 Mg 3.47, 6 Dy 3.53-3.54, 3 Y 3.55
Dy2 0.2479 0.2479 0.2468  2 Tm 3.48, 1 Mg 3.49, 6 Dy 3.53-3.54, 3 Y 3.54
Dy3 0.4182 0.0845 0.7540  2 Tm 3.47, 1 Mg 3.47, 6 Dy 3.53-3.54, 3 Y 3.55
Dy4 0.5818 0.9155 0.2460  2 Tm 3.47, 1 Mg 3.47, 6 Dy 3.53-3.54, 3 Y 3.55
Dy5 0.7521 0.7521 0.7532  2 Tm 3.48, 1 Mg 3.49, 6 Dy 3.53-3.54, 3 Y 3.54
Dy6 0.9155 0.5818 0.2460  2 Tm 3.47, 1 Mg 3.47, 6 Dy 3.53-3.54, 3 Y 3.55
Y1 0.0000 0.0000 0.5000  6 Y 3.53-3.54, 6 Dy 3.54-3.55
Y2 0.3340 0.6660 0.5000  6 Y 3.52-3.54, 6 Dy 3.54-3.55
Y3 0.6660 0.3340 0.5000  6 Y 3.52-3.54, 6 Dy 3.54-3.55
Tm1 0.1664 0.8336 0.0000  6 Dy 3.47-3.48, 3 Tm 3.53, 3 Mg 3.53
Tm2 0.8336 0.1664 0.0000  6 Dy 3.47-3.48, 3 Tm 3.53, 3 Mg 3.53
Mg1 0.5000 0.5000 0.0000  6 Dy 3.47-3.49, 6 Tm 3.53

***

Record 10
This record from Alexandria describes a relaxed Dy3Y2Tm6Mg crystal. The functional is GGA-PBE.

Output
electronic total energy	-4.563	eV/atom
symmetry	No. 12
size of the total moment	0.00	μB per atom

Unit cell a=6.0564 b=6.0564 c=11.6080 alpha=95.03 beta=95.03 gamma=120.02
Last column: nearest neighbours and their distance in Å.
Sites, in units of the cell vectors:
Dy1 0.0000 0.0000 0.0000  6 Dy 3.49-3.50, 6 Tm 3.50
Dy2 0.3340 0.6660 0.0000  6 Dy 3.48-3.50, 6 Tm 3.49-3.51
Dy3 0.6660 0.3340 0.0000  6 Dy 3.48-3.50, 6 Tm 3.49-3.51
Y1 0.1664 0.8336 0.5000  3 Y 3.49-3.50, 6 Tm 3.49-3.50, 3 Mg 3.49-3.50
Y2 0.8336 0.1664 0.5000  3 Y 3.49-3.50, 6 Tm 3.49-3.50, 3 Mg 3.49-3.50
Tm1 0.0852 0.4178 0.2508  1 Mg 3.49, 6 Tm 3.49-3.50, 2 Y 3.49-3.50, 3 Dy 3.50-3.51
Tm2 0.2493 0.2493 0.7501  6 Tm 3.49-3.50, 3 Dy 3.49-3.50, 2 Y 3.50, 1 Mg 3.50
Tm3 0.4178 0.0852 0.2508  1 Mg 3.49, 6 Tm 3.49-3.50, 2 Y 3.49-3.50, 3 Dy 3.50-3.51
Tm4 0.5822 0.9148 0.7492  1 Mg 3.49, 6 Tm 3.49-3.50, 2 Y 3.49-3.50, 3 Dy 3.50-3.51
Tm5 0.7507 0.7507 0.2499  6 Tm 3.49-3.50, 3 Dy 3.49-3.50, 2 Y 3.50, 1 Mg 3.50
Tm6 0.9148 0.5822 0.7492  1 Mg 3.49, 6 Tm 3.49-3.50, 2 Y 3.49-3.50, 3 Dy 3.50-3.51
Mg1 0.5000 0.5000 0.5000  6 Tm 3.49-3.50, 6 Y 3.49-3.50

***

Question: The lowest electronic total energy belongs to which entry?
Answer: Dy3Y6Tm2Mg

***

Question: Which value of size of the total moment does entry 7 give?
Answer: 0.00 μB per atom

***

Question: Which of these has the lowest electronic total energy?
Answer: Dy3Y6Tm2Mg